Cr2ReN4: relaxed, PBE-GGA.

Calculated values
total energy: -8.807 eV per atom
calculated volume: 11.4 A^3/atom
uncorrected formation energy: 0.48 eV per atom

a = 3.9460 Å, b = 3.9460 Å, c = 5.8344 Å
α = 70.23°, β = 70.23°, γ = 90.00°
Each line ends with the local moment (μB).
Fractional coordinates of all 7 atoms:
Re (0.0000, 0.0000, 0.0000)  0.09
Cr (0.6361, 0.6361, 0.7277)  2.64
Cr (0.3639, 0.3639, 0.2723)  2.64
N (0.0000, 0.5000, 0.0000)  -0.09
N (0.8006, 0.8006, 0.3987)  -0.33
N (0.1994, 0.1994, 0.6013)  -0.33
N (0.5000, 0.0000, 0.0000)  -0.09

Cr3ReN: relaxed, PBE-GGA.

Calculated values
total energy: -7.614 eV per atom
calculated volume: 20.8 A^3/atom
uncorrected formation energy: 2.31 eV per atom

a = 4.7060 Å, b = 4.7060 Å, c = 4.7060 Å
α = 90.00°, β = 90.00°, γ = 90.00°
Each line ends with the local moment (μB).
Fractional coordinates of all 5 atoms:
Cr (0.0000, 0.0000, 0.5000)  2.78
Cr (0.5000, 0.0000, 0.0000)  3.62
Cr (0.0000, 0.5000, 0.0000)  3.12
Re (0.0000, 0.0000, 0.0000)  -1.03
N (0.5000, 0.5000, 0.5000)  -1.14

CrReN2: relaxed, PBE-GGA.

Calculated values
total energy: -9.706 eV per atom
calculated volume: 11.4 A^3/atom
uncorrected formation energy: -0.03 eV per atom

a = 4.6042 Å, b = 4.6042 Å, c = 5.4082 Å
α = 64.81°, β = 64.81°, γ = 90.00°
Each line ends with the local moment (μB).
Fractional coordinates of all 8 atoms:
N (0.3750, 0.3894, 0.7500)  -0.06
N (0.1394, 0.6250, 0.2500)  -0.06
N (0.8750, 0.8606, 0.7500)  -0.06
N (0.6106, 0.1250, 0.2500)  -0.06
Re (0.7500, 0.2500, 0.5000)  -0.13
Re (0.0000, 0.0000, 0.0000)  -0.13
Cr (0.5000, 0.5000, 0.0000)  1.87
Cr (0.2500, 0.7500, 0.5000)  1.88